Nb2GePdPt (PBE, relaxed); DFT formation energy = 4.8 eV/f.u.; VASP energy = -6.23 eV/atom; symmetry = P4/mmm (123); theoretical density = 8.053 g/cm3; total magnetic moment = 0.00 μB per cell
1.0
4.8403 0.0000 0.0000
0.0000 4.8403 0.0000
0.0000 0.0000 4.9285
Nb Ge Pd Pt
2 1 1 1
Direct
0.0000 0.5000 0.0000 Nb
0.5000 0.0000 0.0000 Nb
0.0000 0.0000 0.5000 Ge
0.5000 0.5000 0.5000 Pd
0.5000 0.5000 0.0000 Pt